# AlTeW (PBE-GGA, optimized geometry)
data_AlTeW
_chemical_formula_sum 'Al1 Te1 W1'
_cell_length_a 3.2892
_cell_length_b 3.2892
_cell_length_c 6.3045
_cell_angle_alpha 90.00
_cell_angle_beta 90.00
_cell_angle_gamma 120.00
_space_group_name_H-M_alt 'P 3 m 1'
_space_group_IT_number 156
loop_
_space_group_symop_operation_xyz
'x,y,z'
'-y,x-y,z'
'-x+y,-x,z'
'-y,-x,z'
'-x+y,y,z'
'x,x-y,z'
loop_
_atom_site_label
_atom_site_fract_x
_atom_site_fract_y
_atom_site_fract_z
_atom_site_occupancy
Al1 0.0000 0.0000 0.0000 1
Te1 0.6667 0.3333 0.3900 1
W1 0.3333 0.6667 0.6981 1
# ΔE_f (raw), eV per atom: 0.32